(1)
Here is Ac5Co2Ag after structural relaxation from the Alexandria database. Energies are from PBE.

Values from the calculation:
Calculated total energy (eV/atom): -4.760
Formation energy from the elements (eV/atom): -0.059

Lattice parameters (Å, degrees): 9.3561 9.3561 9.3561 127.90 127.90 76.79
With the nearest neighbours (Å) after each atom.
Positions (direct):
Ac 0.0000 0.0000 0.0000  4 Co 3.17
Ac 0.0289 0.5289 0.8202  3 Co 3.01-3.14
Ac 0.2086 0.0289 0.5000  3 Co 3.01-3.14
Ac 0.2914 0.7914 0.8202  3 Co 3.01-3.14
Ac 0.4711 0.2914 0.5000  3 Co 3.01-3.14
Ac 0.5000 0.5000 0.0000  4 Co 3.17
Ac 0.5289 0.7086 0.5000  3 Co 3.01-3.14
Ac 0.7086 0.2086 0.1798  3 Co 3.01-3.14
Ac 0.7914 0.9711 0.5000  3 Co 3.01-3.14
Ac 0.9711 0.4711 0.1798  3 Co 3.01-3.14
Co 0.1405 0.3595 0.5000  8 Ac 3.01-3.17, 1 Co 3.27
Co 0.3595 0.8595 0.2190  8 Ac 3.01-3.17, 1 Co 3.27
Co 0.6405 0.1405 0.7810  8 Ac 3.01-3.17, 1 Co 3.27
Co 0.8595 0.6405 0.5000  8 Ac 3.01-3.17, 1 Co 3.27
Ag 0.2500 0.2500 0.0000  10 Ac 3.54-3.67
Ag 0.7500 0.7500 0.0000  10 Ac 3.54-3.67

(2)
Here is Ir3Os after structural relaxation from the Alexandria database. Energies are from PBE.

Values from the calculation:
Calculated total energy (eV/atom): -9.221
Formation energy from the elements (eV/atom): 0.232

Lattice parameters (Å, degrees): 8.4000 8.4000 3.8622 90.00 90.00 153.37
With the nearest neighbours (Å) after each atom.
Positions (direct):
Ir 0.0594 0.9406 0.7500  6 Ir 2.68-2.74, 6 Os 2.73-2.77
Ir 0.1730 0.8270 0.2500  7 Ir 2.51-2.73, 2 Os 2.66
Ir 0.3263 0.6737 0.2500  7 Ir 2.51-2.73, 2 Os 2.66
Ir 0.6737 0.3263 0.7500  7 Ir 2.51-2.73, 2 Os 2.66
Ir 0.8270 0.1730 0.7500  7 Ir 2.51-2.73, 2 Os 2.66
Ir 0.9406 0.0594 0.2500  6 Ir 2.68-2.74, 6 Os 2.73-2.77
Os 0.4383 0.5617 0.7500  10 Ir 2.66-2.77, 2 Os 2.79
Os 0.5617 0.4383 0.2500  10 Ir 2.66-2.77, 2 Os 2.79

(3)
Here is NdZn3I9 after structural relaxation from the Alexandria database. Energies are from PBE.

Values from the calculation:
ΔE_f (raw) (eV per formula unit): -10.2
Calculated total energy (eV/atom): -2.518

Lattice parameters (Å, degrees): 11.4458 11.4458 14.6545 124.50 124.50 52.94
With the nearest neighbours (Å) after each atom.
Positions (direct):
Nd 0.2309 0.7691 0.5000  6 I 3.14-3.19
Nd 0.7691 0.2309 0.0000  6 I 3.14-3.19
Zn 0.0315 0.2595 0.8309  4 I 2.64-2.66
Zn 0.2595 0.0315 0.3309  4 I 2.64-2.66
Zn 0.2814 0.4322 0.6659  4 I 2.64-2.68
Zn 0.4322 0.2814 0.1659  4 I 2.64-2.68
Zn 0.6489 0.8092 0.2079  4 I 2.64-2.67
Zn 0.8092 0.6489 0.7079  4 I 2.64-2.67
I 0.0755 0.2326 0.2182  1 Zn 2.64
I 0.0924 0.9403 0.3283  1 Zn 2.65
I 0.1651 0.4382 0.0329  2 Zn 2.64-2.66
I 0.2326 0.0755 0.7182  1 Zn 2.64
I 0.3024 0.6709 0.6956  1 Zn 2.65
I 0.4000 0.4108 0.3745  1 Zn 2.68
I 0.4108 0.4000 0.8745  1 Zn 2.68
I 0.4382 0.1651 0.5329  2 Zn 2.64-2.66
I 0.4559 0.7723 0.2245  2 Zn 2.64
I 0.4896 0.9840 0.0754  2 Zn 2.64-2.66
I 0.5384 0.7723 0.5538  1 Zn 2.67
I 0.6709 0.3024 0.1956  1 Zn 2.65
I 0.7723 0.4559 0.7245  2 Zn 2.64
I 0.7723 0.5384 0.0538  1 Zn 2.67
I 0.8603 0.8697 0.9167  1 Zn 2.66
I 0.8697 0.8603 0.4167  1 Zn 2.66
I 0.9403 0.0924 0.8283  1 Zn 2.65
I 0.9840 0.4896 0.5754  2 Zn 2.64-2.66

(4)
Here is NaTcIrC2 after structural relaxation from the Alexandria database. Energies are from PBE.

Values from the calculation:
Calculated total energy (eV/atom): -5.831
Formation energy from the elements (eV/atom): 1.968

Lattice parameters (Å, degrees): 3.9537 3.9537 5.2073 90.00 90.00 90.00
With the nearest neighbours (Å) after each atom.
Positions (direct):
Na 0.0000 0.0000 0.0000  2 Ir 2.60, 4 Tc 2.80
Tc 0.5000 0.5000 0.0000  4 Na 2.80
Ir 0.0000 0.0000 0.5000  4 C 1.98
C 0.0000 0.5000 0.5000  2 Ir 1.98
C 0.5000 0.0000 0.5000  2 Ir 1.98

(5)
Here is HgIr2Cl after structural relaxation from the Alexandria database. Energies are from PBE.

Values from the calculation:
ΔE_f (raw) (eV per formula unit): 3.2
Calculated total energy (eV/atom): -4.158
Energy above the lowest structure with this stoichiometry (meV/atom): 503.1

Lattice parameters (Å, degrees): 5.7746 5.7746 5.7746 151.46 124.65 63.45
With the nearest neighbours (Å) after each atom.
Positions (direct):
Hg 0.0000 0.0000 0.0000  2 Hg 2.85, 6 Ir 3.02-3.04
Ir 0.2710 0.7710 0.5000  4 Ir 2.55-2.85
Ir 0.4862 0.4862 0.0000  2 Cl 2.47, 2 Ir 2.55
Cl 0.6924 0.1924 0.5000  2 Ir 2.47

(6)
Here is Pm3Dy3Ho after structural relaxation from the Alexandria database. Energies are from PBE.

Values from the calculation:
Calculated total energy (eV/atom): -4.502
Formation energy from the elements (eV/atom): 0.160
Energy above the lowest structure with this stoichiometry (meV/atom): 141.5

Lattice parameters (Å, degrees): 14.7974 14.7974 14.7974 24.25 24.25 24.25
With the nearest neighbours (Å) after each atom.
Positions (direct):
Pm 0.1314 0.4623 0.8003  3 Dy 3.53-3.55, 9 Pm 3.56-3.69
Pm 0.1997 0.8686 0.5377  3 Dy 3.53-3.55, 9 Pm 3.56-3.69
Pm 0.4623 0.8003 0.1314  3 Dy 3.53-3.55, 9 Pm 3.56-3.69
Pm 0.5377 0.1997 0.8686  3 Dy 3.53-3.55, 9 Pm 3.56-3.69
Pm 0.8003 0.1314 0.4623  3 Dy 3.53-3.55, 9 Pm 3.56-3.69
Pm 0.8686 0.5377 0.1997  3 Dy 3.53-3.55, 9 Pm 3.56-3.69
Dy 0.0646 0.7312 0.3984  2 Ho 3.47, 3 Pm 3.53-3.55, 6 Dy 3.59
Dy 0.2688 0.6016 0.9354  2 Ho 3.47, 3 Pm 3.53-3.55, 6 Dy 3.59
Dy 0.3984 0.0646 0.7312  2 Ho 3.47, 3 Pm 3.53-3.55, 6 Dy 3.59
Dy 0.6016 0.9354 0.2688  2 Ho 3.47, 3 Pm 3.53-3.55, 6 Dy 3.59
Dy 0.7312 0.3984 0.0646  2 Ho 3.47, 3 Pm 3.53-3.55, 6 Dy 3.59
Dy 0.9354 0.2688 0.6016  2 Ho 3.47, 3 Pm 3.53-3.55, 6 Dy 3.59
Ho 0.3333 0.3333 0.3333  6 Dy 3.47, 3 Ho 3.59
Ho 0.6667 0.6667 0.6667  6 Dy 3.47, 3 Ho 3.59

(7)
Here is K3CrCo after structural relaxation from the Alexandria database. Energies are from PBE.

Values from the calculation:
Calculated total energy (eV/atom): -2.814
Formation energy from the elements (eV/atom): 1.191
Energy above the lowest structure with this stoichiometry (meV/atom): 0.0

Lattice parameters (Å, degrees): 6.2268 6.2268 6.2268 90.00 90.00 90.00
With the nearest neighbours (Å) after each atom.
Positions (direct):
K 0.0000 0.0000 0.5000  2 Co 3.11
K 0.0000 0.5000 0.0000  2 Co 3.11
K 0.5000 0.0000 0.0000  2 Co 3.11
Cr 0.5000 0.5000 0.5000  12 K 4.40
Co 0.0000 0.0000 0.0000  6 K 3.11

(8)
Here is CdPbIO2 after structural relaxation from the Alexandria database. Energies are from PBE.

Values from the calculation:
ΔE_f (raw) (eV per formula unit): -1.0
Calculated total energy (eV/atom): -3.410
Energy above the lowest structure with this stoichiometry (meV/atom): 0.0

Lattice parameters (Å, degrees): 4.3016 4.3016 6.2312 90.00 90.00 90.00
With the nearest neighbours (Å) after each atom.
Positions (direct):
Cd 0.0000 0.0000 0.0000  4 I 3.04
Pb 0.5000 0.5000 0.5000  4 O 2.15
I 0.5000 0.5000 0.0000  4 Cd 3.04, 2 Pb 3.12
O 0.0000 0.5000 0.5000  2 Pb 2.15
O 0.5000 0.0000 0.5000  2 Pb 2.15

(9)
Here is Zr2CuSn2 after structural relaxation from the Alexandria database. Energies are from PBE.

Values from the calculation:
Calculated total energy (eV/atom): -6.080
Formation energy from the elements (eV/atom): -0.240
Energy above the lowest structure with this stoichiometry (meV/atom): 0.0

Lattice parameters (Å, degrees): 6.9746 6.9746 4.3828 90.00 90.00 90.00
With the nearest neighbours (Å) after each atom.
Positions (direct):
Zr 0.1700 0.3300 0.0000  6 Sn 2.87-3.10
Zr 0.3300 0.8300 0.0000  6 Sn 2.87-3.10
Zr 0.6700 0.1700 0.0000  6 Sn 2.87-3.10
Zr 0.8300 0.6700 0.0000  6 Sn 2.87-3.10
Cu 0.0000 0.0000 0.5000  4 Sn 2.68
Cu 0.5000 0.5000 0.5000  4 Sn 2.68
Sn 0.1425 0.6425 0.5000  2 Cu 2.68, 1 Sn 2.81, 2 Zr 2.87
Sn 0.3575 0.1425 0.5000  2 Cu 2.68, 1 Sn 2.81, 2 Zr 2.87
Sn 0.6425 0.8575 0.5000  2 Cu 2.68, 1 Sn 2.81, 2 Zr 2.87
Sn 0.8575 0.3575 0.5000  2 Cu 2.68, 1 Sn 2.81, 2 Zr 2.87

(10)
Here is Y4PtSe2Cl after structural relaxation from the Alexandria database. Energies are from PBE.

Values from the calculation:
ΔE_f (raw) (eV per formula unit): -12.2
Calculated total energy (eV/atom): -6.612

Lattice parameters (Å, degrees): 7.1558 3.9704 7.2417 90.00 108.15 90.00
With the nearest neighbours (Å) after each atom.
Positions (direct):
Y 0.2298 0.0000 0.2344  2 Pt 2.79, 3 Se 2.89-3.01, 1 Cl 2.94
Y 0.2343 0.5000 0.7472  1 Pt 2.84, 3 Se 2.84-2.99, 2 Cl 2.96
Y 0.7657 0.5000 0.2528  1 Pt 2.84, 3 Se 2.84-2.99, 2 Cl 2.96
Y 0.7702 0.0000 0.7656  2 Pt 2.79, 3 Se 2.89-3.01, 1 Cl 2.94
Pt 0.0000 0.5000 0.0000  6 Y 2.79-2.84
Se 0.0000 0.0000 0.5000  6 Y 2.84-2.89
Se 0.5000 0.5000 0.5000  6 Y 2.99-3.01
Cl 0.5000 0.0000 0.0000  6 Y 2.94-2.96

calculated total energy of number 8 (CdPbIO2)? -3.410 eV/atom